# 1
Compound: LaAg2C2O6
Source: Alexandria
Functional: PBE
Structure: relaxed

Lattice parameters (Å, degrees): 5.0022 5.0022 8.0515 90.00 90.00 120.00
With the nearest neighbours (Å) after each atom.
Space group P-3 (No. 147)
Asymmetric unit:
La (0.0000, 0.0000, 0.0000)  6 O 2.45
Ag (0.3333, 0.6667, 0.4067)  3 O 2.56
C (0.3333, 0.6667, 0.8175)  3 O 1.30
O (0.0612, 0.6393, 0.8193)  1 C 1.30

Properties
spin magnetization = 0.000 μB per atom

---

# 2
Compound: FeAgS
Source: Alexandria
Functional: PBE
Structure: relaxed

Lattice parameters (Å, degrees): 3.5691 3.5691 8.9796 90.00 90.00 90.00
With the nearest neighbours (Å) after each atom.
Space group P4/nmm (No. 129, origin choice 2)
Asymmetric unit:
Fe (0.2500, 0.7500, 0.0000)  4 S 2.16
Ag (0.2500, 0.2500, 0.4365)  4 Ag 2.77
S (0.2500, 0.2500, 0.8638)  4 Fe 2.16

Properties
spin magnetization = 0.000 μB per atom

---

# 3
Compound: NaLa2Eu
Source: Alexandria
Functional: PBE
Structure: relaxed

Lattice parameters (Å, degrees): 3.6637 3.6637 40.2192 90.00 90.00 120.00
With the nearest neighbours (Å) after each atom.
Space group R-3m (No. 166, hexagonal axes)
Asymmetric unit:
Na (0.0000, 0.0000, 0.0000)  2 La 3.60, 6 Na 3.66
La (0.0000, 0.0000, 0.0896)  1 Na 3.60, 6 La 3.66, 3 Eu 3.75
Eu (0.0000, 0.0000, 0.5000)  6 Eu 3.66, 6 La 3.75

Properties
spin magnetization = 1.974 μB per atom
DFT formation energy = 178 meV per atom

---

E_tot / eV/atom: -6.7953; -5.2822; -5.1841
D(E_F) / states/eV per cell: 1.32; 1.16; 14.72